# 1
# PBE PrDyOsAu, relaxed
# formation enthalpy at 0 K = -33.2 kJ/mol of atoms
# D(E_F) = 0.855 states/eV per atom
data_PrDyOsAu
_cell_length_a 7.140
_cell_length_b 7.140
_cell_length_c 7.140
_cell_angle_alpha 90.00
_cell_angle_beta 90.00
_cell_angle_gamma 90.00
_symmetry_space_group_name_H-M 'F -4 3 m'
_symmetry_Int_Tables_number 216
_symmetry_space_group_name_Hall 'F -4 2 3'
loop_
_atom_site_label
_atom_site_type_symbol
_atom_site_fract_x
_atom_site_fract_y
_atom_site_fract_z
_atom_site_occupancy
Pr1 Pr 0.000 0.000 0.000 1
Dy1 Dy 0.000 0.000 0.500 1
Os1 Os 0.250 0.250 0.750 1
Au1 Au 0.250 0.250 0.250 1

# 2
# PBE DyPuOsAu, relaxed
# formation enthalpy at 0 K = -24.5 kJ/mol of atoms
# D(E_F) = 2.480 states/eV per atom
data_DyPuOsAu
_cell_length_a 6.999
_cell_length_b 6.999
_cell_length_c 6.999
_cell_angle_alpha 90.00
_cell_angle_beta 90.00
_cell_angle_gamma 90.00
_symmetry_space_group_name_H-M 'F -4 3 m'
_symmetry_Int_Tables_number 216
_symmetry_space_group_name_Hall 'F -4 2 3'
loop_
_atom_site_label
_atom_site_type_symbol
_atom_site_fract_x
_atom_site_fract_y
_atom_site_fract_z
_atom_site_occupancy
Dy1 Dy 0.000 0.000 0.000 1
Pu1 Pu 0.000 0.000 0.500 1
Os1 Os 0.250 0.250 0.250 1
Au1 Au 0.250 0.250 0.750 1